Co2Ni6Rh: relaxed, GGA-PBE.

Cell and atoms, written as extended XYZ:
```
9
Lattice="-3.3918 -0.6328 0.8344 -1.3907 -4.0005 -1.1363 0.4698 -4.2696 6.2228" Properties=species:S:1:pos:R:3 pbc="T T T"
Co -1.6204 -5.7766 4.1340
Co -2.6922 -3.1263 1.7869
Ni -2.8174 -7.3436 5.6310
Ni -1.4953 -1.5593 0.2899
Ni -4.4762 -4.6819 0.9065
Ni -2.2690 -5.6477 1.5954
Ni 0.1635 -4.2210 5.0144
Ni -2.0437 -3.2552 4.3256
Rh -0.4605 -4.1351 2.5433
```

Output
**E_form**: 13.7 meV/atom
**Polymorph energy (0 for the lowest one)**: 0 meV per atom
**Space-group type**: C2/m (12)
**Raw total energy**: -6.236 eV per atom

PRuO3: relaxed, GGA-PBE.

Cell and atoms, written as extended XYZ:
```
5
Lattice="3.6380 0.0000 0.0000 0.0000 3.6380 0.0000 0.0000 0.0000 3.6380" Properties=species:S:1:pos:R:3 pbc="T T T"
Ru 1.8190 1.8190 1.8190
O 0.0000 1.8190 0.0000
O 0.0000 0.0000 1.8190
O 1.8190 0.0000 0.0000
P 0.0000 0.0000 0.0000
```

Output
**Formation energy (no corrections)**: -0.154 eV/atom
**Space-group type**: Pm-3m (221)
**Raw total energy**: -6.066 eV per atom

PrGdAl2: relaxed, GGA-PBE.

Cell and atoms, written as extended XYZ:
```
4
Lattice="-2.1379 -2.8780 0.9033 3.0147 -2.0017 0.7575 -0.2008 2.3447 6.9952" Properties=species:S:1:pos:R:3 pbc="T T T"
Pr 0.3380 -1.2675 4.3280
Gd 0.4384 -2.4399 0.8304
Al -0.1532 1.7891 5.3377
Al -0.0476 0.5555 1.6574
```

Output
**E_form**: -370.8 meV/atom
**Polymorph energy (0 for the lowest one)**: 0 meV per atom
**Space-group type**: P4/mmm (123)
**Raw total energy**: -6.957 eV per atom

CdSeI: relaxed, GGA-PBE.

Cell and atoms, written as extended XYZ:
```
6
Lattice="4.3748 0.0000 0.0000 1.1513 6.0660 0.0000 1.0201 1.4882 7.5810" Properties=species:S:1:pos:R:3 pbc="T T T"
Cd 5.7360 5.9168 3.7193
Cd 1.6989 2.9653 6.3174
Se 3.8954 2.5988 4.7182
Se 3.6201 4.4136 3.1108
I 1.5629 1.2413 1.4352
I 6.0101 5.9054 6.6339
```

Output
**Polymorph energy (0 for the lowest one)**: 50 meV per atom
**Formation energy (no corrections)**: -0.411 eV/atom
**Space-group type**: P1 (1)
**Raw total energy**: -2.394 eV per atom

KSm2CuBr8: relaxed, GGA-PBE.

Cell and atoms, written as extended XYZ:
```
12
Lattice="-5.4286 3.0548 -4.5092 -0.1273 -1.8322 -8.5358 -5.8467 -5.8968 2.4221" Properties=species:S:1:pos:R:3 pbc="T T T"
K -2.9233 -2.9484 1.2110
Sm -7.2588 -3.8790 -4.9599
Sm -4.1437 -0.7952 -5.6630
Cu 0.0000 0.0000 0.0000
Br -2.1244 -2.5780 -5.1824
Br -3.1562 -0.1059 -8.2945
Br -6.2798 1.2939 -5.6703
Br -9.2782 -2.0962 -5.4405
Br -8.2464 -4.5683 -2.3284
Br -5.1228 -5.9681 -4.9526
Br -5.7621 -2.7028 -7.1925
Br -5.6404 -1.9713 -3.4304
```

Output
**Formation energy (no corrections)**: -1.552 eV/atom
**Space-group type**: P-1 (2)
**Raw total energy**: -3.886 eV per atom

Ca2ZrNi2: relaxed, GGA-PBE.

Cell and atoms, written as extended XYZ:
```
10
Lattice="6.7580 0.0000 0.0000 0.0000 6.7580 0.0000 0.0000 0.0000 4.7336" Properties=species:S:1:pos:R:3 pbc="T T T"
Ni 2.5458 5.9248 0.0000
Ni 5.9248 4.2122 0.0000
Ni 4.2122 0.8332 0.0000
Ni 0.8332 2.5458 0.0000
Ca 1.1826 4.5617 2.3668
Ca 4.5617 5.5754 2.3668
Ca 5.5754 2.1964 2.3668
Ca 2.1964 1.1826 2.3668
Zr 0.0000 0.0000 0.0000
Zr 3.3790 3.3790 0.0000
```

Output
**E_form**: -46.6 meV/atom
**Polymorph energy (0 for the lowest one)**: 0 meV per atom
**Space-group type**: P4/mbm (127)
**Raw total energy**: -4.869 eV per atom

Ce3Er5Bi8: relaxed, GGA-PBE.

Cell and atoms, written as extended XYZ:
```
16
Lattice="7.8273 0.0000 4.4835 2.6296 7.3724 4.4835 0.0387 0.0273 9.0066" Properties=species:S:1:pos:R:3 pbc="T T T"
Ce 3.9330 0.0137 6.7451
Ce 0.0194 0.0137 4.5033
Ce 1.3342 3.6999 6.7451
Er 3.9137 0.0000 2.2418
Er 5.2284 3.6862 4.4835
Er 0.0000 0.0000 0.0000
Er 1.3148 3.6862 2.2418
Er 5.2478 3.6999 8.9868
Bi 2.6434 1.8637 9.0493
Bi 3.9429 5.5069 11.2649
Bi 6.5115 1.8637 11.2649
Bi 7.8398 5.5273 13.5359
Bi 7.8522 5.5360 8.9243
Bi 6.5527 1.8928 6.7087
Bi 3.9841 5.5360 6.7087
Bi 2.6558 1.8724 4.4378
```

Output
**E_form**: -802.9 meV/atom
**Space-group type**: R-3m (166)
**Raw total energy**: -5.282 eV per atom

PrGdSi: relaxed, GGA-PBE.

Cell and atoms, written as extended XYZ:
```
3
Lattice="4.2579 0.0000 0.0000 0.0000 4.7170 0.0000 0.0000 -2.3585 4.0850" Properties=species:S:1:pos:R:3 pbc="T T T"
Pr 2.9878 2.3585 1.3617
Si 0.2328 0.0000 0.0000
Gd 1.0372 0.0000 2.7234
```

Output
**Polymorph energy (0 for the lowest one)**: 137 meV per atom
**Formation energy (no corrections)**: -0.309 eV/atom
**Space-group type**: P3m1 (156)
**Raw total energy**: -8.403 eV per atom